Crystalline KMoO3 at its relaxed geometry, computed with PBE+U.

Results
final energy	-6.030	eV per atom

Cell: 3.5673 3.5673 14.1896 Å, 90.00 90.00 120.00°
Space group P6_3/mmc (No. 194)
Asymmetric unit:
K1 0.0000 0.0000 0.0000 [2 per cell]
Mo1 0.3333 0.6667 0.2500 [2 per cell]
O1 0.0000 0.0000 0.2500 [2 per cell]
O2 0.3333 0.6667 0.1212 [4 per cell]